Computed, not measured: an optimized crystal structure of Pm3Dy2Ho7 at the PBE level of DFT.

theoretical density	7.7	g/cm³
excess energy over the best structure of this formula in the dataset	0.217	eV per atom
space-group type	P2/m, No. 10
total magnetization	0.0	μB per formula unit

a b c (Å): 6.084 5.616 12.165
angles (deg): 90.00 94.63 90.00
Sites, in units of the cell vectors:
Pm 0.000 0.000 0.000
Pm 0.467 0.500 0.325
Pm 0.533 0.500 0.675
Dy 0.137 0.000 0.288
Dy 0.863 0.000 0.712
Ho 0.049 0.500 0.825
Ho 0.271 0.000 0.558
Ho 0.407 0.000 0.839
Ho 0.500 0.500 0.000
Ho 0.593 0.000 0.161
Ho 0.729 0.000 0.442
Ho 0.951 0.500 0.175